Density functional theory data (PBE) for an optimized crystal structure of InNi3.

Unit cell a=2.8069 b=2.8069 c=24.1976 alpha=90.00 beta=90.00 gamma=120.00
With the nearest neighbours (Å) after each atom.
Space group R-3m (No. 166, hexagonal axes)
Asymmetric unit:
In  0.0000  0.0000  0.0000 x3  6 Ni 2.70, 6 In 2.81
Ni  0.0000  0.0000  0.2439 x6  3 Ni 2.47, 3 In 2.70
Ni  0.0000  0.0000  0.5000 x3  6 Ni 2.47

Properties
- Crystal system: trigonal
- Density of states at the Fermi level: 1.36 states/eV/atom
- Magnetization: 0.9 μB per formula unit
- Formation enthalpy at 0 K: 297 meV per atom



Density functional theory data (PBE) for an optimized crystal structure of In5Ni3.

Unit cell a=8.0242 b=8.6112 c=4.2024 alpha=90.00 beta=90.00 gamma=90.00
With the nearest neighbours (Å) after each atom.
Space group Cmmm (No. 65)
Asymmetric unit:
In  0.0000  0.0000  0.0000 x2  4 Ni 2.81, 4 In 2.94
In  0.2001  0.5000  0.5000 x4  4 Ni 2.64-2.91
In  0.2500  0.2500  0.0000 x4  6 Ni 2.92-2.94, 6 In 2.94-3.03
Ni  0.0000  0.2175  0.5000 x4  10 In 2.81-3.05
Ni  0.0000  0.5000  0.0000 x2  8 In 2.64-2.94

Properties
- Crystal system: orthorhombic
- Excess energy over the best structure of this formula in the dataset: 0.144 eV per atom
- Density of states at the Fermi level: 0.42 states/eV/atom
- Magnetization: 0.0 μB per formula unit
- Formation enthalpy at 0 K: 118 meV per atom



Density functional theory data (PBE) for an optimized crystal structure of In2Ni.

Unit cell a=3.0637 b=12.4425 c=6.5885 alpha=90.00 beta=90.00 gamma=90.00
With the nearest neighbours (Å) after each atom.
Space group Cmc2_1 (No. 36)
Asymmetric unit:
In  0.0000  0.0023  0.0000 x4  4 Ni 2.63-2.66
In  0.0000  0.2559  0.5638 x4  3 Ni 2.64-2.65
Ni  0.0000  0.3879  0.2495 x4  7 In 2.63-2.66

Properties
- Crystal system: orthorhombic
- Density of states at the Fermi level: 0.33 states/eV/atom
- Magnetization: 0.0 μB per formula unit
- Formation enthalpy at 0 K: -61 meV per atom



Density functional theory data (PBE) for an optimized crystal structure of InNi4.

Unit cell a=5.5917 b=5.5917 c=5.5917 alpha=90.00 beta=90.00 gamma=90.00
With the nearest neighbours (Å) after each atom.
Space group Im-3m (No. 229)
Asymmetric unit:
In  0.0000  0.0000  0.0000 x2  8 Ni 2.42
Ni  0.2500  0.2500  0.2500 x8  2 In 2.42

Properties
- Crystal system: cubic
- Density of states at the Fermi level: 2.23 states/eV/atom
- Magnetization: 1.6 μB per formula unit
- Formation enthalpy at 0 K: 1012 meV per atom



Density functional theory data (PBE) for an optimized crystal structure of In2Ni.

Unit cell a=6.4916 b=6.4940 c=3.2377 alpha=90.00 beta=90.00 gamma=90.00
With the nearest neighbours (Å) after each atom.
Space group Pnnm (No. 58)
Asymmetric unit:
In  0.2230  0.2198  0.0000 x4  3 Ni 2.56-2.60
Ni  0.0000  0.0000  0.5000 x2  6 In 2.56-2.60

Properties
- Crystal system: orthorhombic
- Density of states at the Fermi level: 0.70 states/eV/atom
- Magnetization: 0.0 μB per formula unit
- Formation enthalpy at 0 K: 6 meV per atom



Density functional theory data (PBE) for an optimized crystal structure of InNi3.

Unit cell a=4.8171 b=4.8171 c=4.8171 alpha=90.00 beta=90.00 gamma=90.00
With the nearest neighbours (Å) after each atom.
Space group Pm-3m (No. 221)
Asymmetric unit:
In  0.0000  0.0000  0.0000 x1  6 Ni 2.41
Ni  0.0000  0.0000  0.5000 x3  2 In 2.41

Properties
- Crystal system: cubic
- Density of states at the Fermi level: 2.91 states/eV/atom
- Magnetization: 1.1 μB per formula unit
- Formation enthalpy at 0 K: 1732 meV per atom



Density functional theory data (PBE) for an optimized crystal structure of In2Ni.

Unit cell a=6.4832 b=6.4832 c=5.4523 alpha=90.00 beta=90.00 gamma=90.00
With the nearest neighbours (Å) after each atom.
Space group I4/mcm (No. 140)
Asymmetric unit:
In  0.1731  0.3269  0.0000 x8  4 Ni 2.76, 2 In 3.07
Ni  0.0000  0.0000  0.2500 x4  2 Ni 2.73, 8 In 2.76

Properties
- Crystal system: tetragonal
- Density of states at the Fermi level: 0.55 states/eV/atom
- Magnetization: 0.0 μB per formula unit
- Formation enthalpy at 0 K: -106 meV per atom



Density functional theory data (PBE) for an optimized crystal structure of In5Ni.

Unit cell a=13.7020 b=3.0318 c=9.5791 alpha=90.00 beta=133.92 gamma=90.00
With the nearest neighbours (Å) after each atom.
Space group C2/m (No. 12)
Asymmetric unit:
In  0.0000  0.0000  0.0000 x2  8 In 3.03-3.30
In  0.1089  0.5000  0.8230 x4  2 Ni 2.77, 2 In 3.03
In  0.2073  0.5000  0.5975 x4  2 Ni 2.75, 2 In 3.03
Ni  0.0000  0.0000  0.5000 x2  8 In 2.75-2.77, 2 Ni 3.03

Properties
- Crystal system: monoclinic
- Density of states at the Fermi level: 0.47 states/eV/atom
- Magnetization: 0.0 μB per formula unit
- Formation enthalpy at 0 K: 16 meV per atom



Density functional theory data (PBE) for an optimized crystal structure of InNi4.

Unit cell a=5.8316 b=5.8316 c=3.7145 alpha=90.00 beta=90.00 gamma=90.00
With the nearest neighbours (Å) after each atom.
Space group I4/m (No. 87)
Asymmetric unit:
In  0.0000  0.0000  0.0000 x2  12 Ni 2.63-2.65
Ni  0.0911  0.6894  0.5000 x8  9 Ni 2.45-2.72, 3 In 2.63-2.65

Properties
- Crystal system: tetragonal
- Density of states at the Fermi level: 1.71 states/eV/atom
- Magnetization: 0.7 μB per formula unit
- Formation enthalpy at 0 K: -22 meV per atom



Density functional theory data (PBE) for an optimized crystal structure of In3Ni2.

Unit cell a=4.0257 b=3.4378 c=7.0574 alpha=90.00 beta=106.49 gamma=90.00
With the nearest neighbours (Å) after each atom.
Space group P2/m (No. 10)
Asymmetric unit:
In  0.0000  0.0000  0.0000 x1  2 Ni 2.57
In  0.3488  0.5000  0.6983 x2  6 Ni 2.70-2.76
Ni  0.1903  0.0000  0.3794 x2  7 In 2.57-2.76, 2 Ni 2.59

Properties
- Crystal system: monoclinic
- Density of states at the Fermi level: 0.46 states/eV/atom
- Magnetization: 0.0 μB per formula unit
- Formation enthalpy at 0 K: -70 meV per atom



Density functional theory data (PBE) for an optimized crystal structure of In5Ni.

Unit cell a=8.5462 b=8.5462 c=8.5462 alpha=90.00 beta=90.00 gamma=90.00
With the nearest neighbours (Å) after each atom.
Space group F-43m (No. 216)
Asymmetric unit:
In  0.0000  0.0000  0.0000 x4  12 In 3.54, 4 Ni 3.70
In  0.1245  0.1245  0.6245 x16  6 In 3.01-3.03
Ni  0.2500  0.2500  0.2500 x4  16 In 3.54-3.70

Properties
- Crystal system: cubic
- Density of states at the Fermi level: 0.84 states/eV/atom
- Magnetization: 0.0 μB per formula unit
- Formation enthalpy at 0 K: 464 meV per atom



Density functional theory data (PBE) for an optimized crystal structure of In3Ni2.

Unit cell a=3.2136 b=3.2136 c=31.2281 alpha=90.00 beta=90.00 gamma=120.00
With the nearest neighbours (Å) after each atom.
Space group R-3m (No. 166, hexagonal axes)
Asymmetric unit:
In  0.0000  0.0000  0.0000 x3  6 Ni 2.67
In  0.0000  0.0000  0.2095 x6  3 Ni 2.69
Ni  0.0000  0.0000  0.3949 x6  6 In 2.67-2.69

Properties
- Crystal system: trigonal
- Density of states at the Fermi level: 0.51 states/eV/atom
- Magnetization: 0.0 μB per formula unit
- Formation enthalpy at 0 K: 97 meV per atom